(1)
# Pr2SnPb, relaxed, DFT PBE-GGA
data_Pr2SnPb
_symmetry_space_group_name_H-M 'R -3 m'
_symmetry_Int_Tables_number 166
_symmetry_space_group_name_Hall '-R 3 2"'
_cell_length_a 5.2150
_cell_length_b 5.2150
_cell_length_c 16.3436
_cell_angle_alpha 90.00
_cell_angle_beta 90.00
_cell_angle_gamma 120.00
loop_
_atom_site_label
_atom_site_fract_x
_atom_site_fract_y
_atom_site_fract_z
Pr1 0.0000 0.0000 0.2476
Sn1 0.0000 0.0000 0.5000
Pb1 0.0000 0.0000 0.0000
# Energy of formation from the pure elements in eV per atom: -0.5640
# Distance to the lowest polymorph of the same formula in meV/atom: 114.7

=====

(2)
# PrSnPb2, relaxed, DFT PBE-GGA
data_PrSnPb2
_symmetry_space_group_name_H-M 'P 4/m m m'
_symmetry_Int_Tables_number 123
_symmetry_space_group_name_Hall '-P 4 2'
_cell_length_a 4.893
_cell_length_b 4.893
_cell_length_c 4.911
_cell_angle_alpha 90.00
_cell_angle_beta 90.00
_cell_angle_gamma 90.00
loop_
_atom_site_label
_atom_site_fract_x
_atom_site_fract_y
_atom_site_fract_z
Pr1 0.000 0.000 0.000
Sn1 0.500 0.500 0.000
Pb1 0.000 0.500 0.500
# Energy of formation from the pure elements in eV per atom: -0.4196
# Distance to the lowest polymorph of the same formula in meV/atom: 0.0

=====

(3)
# PrSnPb, relaxed, DFT PBE-GGA
data_PrSnPb
_symmetry_space_group_name_H-M 'P 63 m c'
_symmetry_Int_Tables_number 186
_symmetry_space_group_name_Hall 'P 6c -2c'
_cell_length_a 4.4720
_cell_length_b 4.4720
_cell_length_c 11.4713
_cell_angle_alpha 90.00
_cell_angle_beta 90.00
_cell_angle_gamma 120.00
loop_
_atom_site_label
_atom_site_fract_x
_atom_site_fract_y
_atom_site_fract_z
Pr1 0.3333 0.6667 0.0000
Sn1 0.0000 0.0000 0.1722
Pb1 0.3333 0.6667 0.3067
# Energy of formation from the pure elements in eV per atom: -0.2455
# Distance to the lowest polymorph of the same formula in meV/atom: 308.0

=====

(4)
# Pr5SnPb2, relaxed, DFT PBE-GGA
data_Pr5SnPb2
_symmetry_space_group_name_H-M 'I 4/m c m'
_symmetry_Int_Tables_number 140
_symmetry_space_group_name_Hall '-I 4 2c'
_cell_length_a 8.544
_cell_length_b 8.544
_cell_length_c 14.358
_cell_angle_alpha 90.00
_cell_angle_beta 90.00
_cell_angle_gamma 90.00
loop_
_atom_site_label
_atom_site_fract_x
_atom_site_fract_y
_atom_site_fract_z
Pr1 0.000 0.000 0.000
Pr2 0.163 0.337 0.152
Sn1 0.000 0.000 0.250
Pb1 0.138 0.362 0.500
# Energy of formation from the pure elements in eV per atom: -0.5369

=====

(5)
# Pr4SnTe2Pb, relaxed, DFT PBE-GGA
data_Pr4SnTe2Pb
_symmetry_space_group_name_H-M 'P 1 2/m 1'
_symmetry_Int_Tables_number 10
_symmetry_space_group_name_Hall '-P 2y'
_cell_length_a 7.904
_cell_length_b 4.569
_cell_length_c 7.945
_cell_angle_alpha 90.00
_cell_angle_beta 109.37
_cell_angle_gamma 90.00
loop_
_atom_site_label
_atom_site_fract_x
_atom_site_fract_y
_atom_site_fract_z
Pr1 0.245 0.000 0.242
Pr2 0.250 0.500 0.756
Sn1 0.000 0.500 0.000
Te1 0.000 0.000 0.500
Te2 0.500 0.500 0.500
Pb1 0.500 0.000 0.000
# Total energy in eV per atom: -5.22

=====

(6)
# Pr6SnTe3Pb2, relaxed, DFT PBE-GGA
data_Pr6SnTe3Pb2
_symmetry_space_group_name_H-M 'C 1 2/m 1'
_symmetry_Int_Tables_number 12
_symmetry_space_group_name_Hall '-C 2y'
_cell_length_a 19.971
_cell_length_b 4.580
_cell_length_c 9.156
_cell_angle_alpha 90.00
_cell_angle_beta 103.66
_cell_angle_gamma 90.00
loop_
_atom_site_label
_atom_site_fract_x
_atom_site_fract_y
_atom_site_fract_z
Pr1 0.001 0.000 0.244
Pr2 0.164 0.500 0.085
Pr3 0.168 0.500 0.580
Sn1 0.000 0.500 0.000
Te1 0.000 0.500 0.500
Te2 0.167 0.000 0.833
Pb1 0.167 0.000 0.333
# Total energy in eV per atom: -5.20

=====

(7)
# PrSnTe4Pb2, relaxed, DFT PBE-GGA
data_PrSnTe4Pb2
_symmetry_space_group_name_H-M 'P 1 2/m 1'
_symmetry_Int_Tables_number 10
_symmetry_space_group_name_Hall '-P 2y'
_cell_length_a 8.044
_cell_length_b 4.444
_cell_length_c 8.116
_cell_angle_alpha 90.00
_cell_angle_beta 107.21
_cell_angle_gamma 90.00
loop_
_atom_site_label
_atom_site_fract_x
_atom_site_fract_y
_atom_site_fract_z
Pr1 0.000 0.000 0.000
Sn1 0.000 0.500 0.500
Te1 0.240 0.000 0.746
Te2 0.243 0.500 0.250
Pb1 0.500 0.000 0.500
Pb2 0.500 0.500 0.000
# Total energy in eV per atom: -4.18

=====

(8)
# Sr2PrPb3, relaxed, DFT PBE-GGA
data_Sr2PrPb3
_symmetry_space_group_name_H-M 'C m m m'
_symmetry_Int_Tables_number 65
_symmetry_space_group_name_Hall '-C 2 2'
_cell_length_a 5.992
_cell_length_b 17.743
_cell_length_c 7.688
_cell_angle_alpha 90.00
_cell_angle_beta 90.00
_cell_angle_gamma 90.00
loop_
_atom_site_label
_atom_site_fract_x
_atom_site_fract_y
_atom_site_fract_z
Sr1 0.000 0.000 0.000
Sr2 0.000 0.000 0.500
Sr3 0.000 0.333 0.000
Pr1 0.000 0.342 0.500
Pb1 0.000 0.172 0.274
Pb2 0.000 0.500 0.248
# Energy of formation from the pure elements in eV per atom: -0.4821

=====

| no. | calculated density (Mg/m³) |
| --- | --- |
| 1 | 7.9 |
| 2 | 9.5 |
| 3 | 7.8 |
| 4 | 7.8 |
| 5 | 7.0 |
| 6 | 7.2 |
| 7 | 7.1 |
| 8 | 7.6 |